(1)
# RbTaBe3

A crystal of RbTaBe3 relaxed with PBEsol (SCAN, Alexandria via LeMat-Bulk).

Computed properties:
For the formation energy, the calculation gives 1.48 eV per atom. Its magnetic moment is 0.43 μB per atom.

Cell lengths 4.844, 4.844, 4.844 Å; angles 90.00, 90.00, 90.00 degrees
Fractional coordinates of all 5 atoms:
Be1 0.000 0.500 0.000
Be2 0.000 0.000 0.500
Be3 0.500 0.000 0.000
Rb1 0.500 0.500 0.500
Ta1 0.000 0.000 0.000

=====

(2)
# ZnSiTc

A crystal of ZnSiTc relaxed with PBEsol (SCAN, Alexandria via LeMat-Bulk).

Computed properties:
For the relative energy among the computed polymorphs, the calculation gives 0.0 meV per atom. For the raw formation energy, the calculation gives -0.141 eV/atom. Its magnetic moment is 0.26 μB per atom.

Cell lengths 3.099, 3.097, 4.706 Å; angles 109.21, 109.22, 90.00 degrees
Fractional coordinates of all 3 atoms:
Si1 0.010 0.010 0.020
Tc1 0.655 0.655 0.310
Zn1 0.335 0.335 0.670

=====

(3)
# YMg8Cu4

A crystal of YMg8Cu4 relaxed with PBEsol (SCAN, Alexandria via LeMat-Bulk).

Computed properties:
For the formation energy, the calculation gives -0.13 eV per atom. Its magnetic moment is 0.00 μB per atom.

Cell lengths 5.287, 7.160, 7.160 Å; angles 82.16, 68.33, 68.33 degrees
Fractional coordinates of all 13 atoms:
Cu1 0.000 0.000 0.500
Cu2 0.500 0.000 0.500
Cu3 0.000 0.500 0.000
Cu4 0.500 0.500 0.000
Mg1 0.000 0.340 0.660
Mg2 0.000 0.660 0.340
Mg3 0.340 0.660 0.660
Mg4 0.660 0.340 0.340
Mg5 0.500 0.785 0.215
Mg6 0.500 0.215 0.785
Mg7 0.285 0.215 0.215
Mg8 0.715 0.785 0.785
Y1 0.000 0.000 0.000

=====

(4)
# KBaSc2

A crystal of KBaSc2 relaxed with PBEsol (SCAN, Alexandria via LeMat-Bulk).

Computed properties:
For the relative energy among the computed polymorphs, the calculation gives 0.0 meV per atom. For the formation energy, the calculation gives 0.64 eV per atom. Its magnetic moment is 0.20 μB per atom.

Cell lengths 3.670, 5.885, 7.164 Å; angles 114.25, 104.84, 90.00 degrees
Fractional coordinates of all 4 atoms:
Ba1 0.500 0.000 0.000
K1 0.000 0.500 0.000
Sc1 0.754 0.754 0.508
Sc2 0.246 0.246 0.492

=====

(5)
# Zn3TcH

A crystal of Zn3TcH relaxed with PBEsol (SCAN, Alexandria via LeMat-Bulk).

Computed properties:
Its magnetic moment is 0.64 μB per atom.

Cell lengths 4.842, 4.842, 4.842 Å; angles 90.00, 90.00, 90.00 degrees
Fractional coordinates of all 5 atoms:
H1 0.500 0.500 0.500
Zn1 0.000 0.500 0.000
Zn2 0.000 0.000 0.500
Zn3 0.500 0.000 0.000
Tc1 0.000 0.000 0.000

=====

(6)
# Li4InFe

A crystal of Li4InFe relaxed with PBEsol (SCAN, Alexandria via LeMat-Bulk).

Computed properties:
For the formation energy, the calculation gives 0.11 eV per atom. Its magnetic moment is 0.42 μB per atom.

Cell lengths 4.989, 4.989, 4.989 Å; angles 60.00, 60.00, 60.00 degrees
Fractional coordinates of all 6 atoms:
Fe1 0.750 0.750 0.750
In1 0.000 0.000 0.000
Li1 0.376 0.376 0.376
Li2 0.376 0.376 0.873
Li3 0.873 0.376 0.376
Li4 0.376 0.873 0.376

=====

(7)
# PWAu2

A crystal of PWAu2 relaxed with PBEsol (SCAN, Alexandria via LeMat-Bulk).

Computed properties:
For the relative energy among the computed polymorphs, the calculation gives 205.3 meV per atom. For the formation energy, the calculation gives 0.53 eV per atom. Its magnetic moment is 0.00 μB per atom.

Cell lengths 2.810, 4.578, 5.073 Å; angles 90.00, 103.99, 90.00 degrees
Fractional coordinates of all 4 atoms:
Au1 0.157 0.000 0.760
Au2 0.843 0.000 0.240
P1 0.500 0.500 0.000
W1 0.500 0.500 0.500

=====

(8)
# MnCr4

A crystal of MnCr4 relaxed with PBEsol (SCAN, Alexandria via LeMat-Bulk).

Computed properties:
For the formation energy, the calculation gives 0.04 eV per atom. Its magnetic moment is 0.02 μB per atom.

Cell lengths 2.795, 4.639, 4.639 Å; angles 84.79, 72.47, 72.47 degrees
Fractional coordinates of all 5 atoms:
Cr1 0.397 0.405 0.802
Cr2 0.603 0.595 0.198
Cr3 0.801 0.802 0.595
Cr4 0.199 0.198 0.405
Mn1 0.000 0.000 0.000

=====

| no. | total energy (eV per atom) |
| --- | --- |
| 1 | -18.594 |
| 2 | -19.672 |
| 3 | -10.008 |
| 4 | -18.452 |
| 5 | -14.537 |
| 6 | -10.066 |
| 7 | -54.071 |
| 8 | -18.321 |